# SmPd6Au5

An optimized crystal structure of SmPd6Au5 (PBE, the Alexandria database).

abc: 4.2978 7.6753 7.7214
angles: 119.80 106.16 90.00
Fractional positions:
Pd 0.1687 0.9135 0.3376
Au 0.3305 0.3305 0.6611
Au 0.0000 0.5000 0.0000
Pd 0.8312 0.5759 0.6624
Au 0.6695 0.6695 0.3389
Au 0.6658 0.1658 0.3317
Pd 0.1688 0.4241 0.3376
Pd 0.8313 0.0865 0.6624
Pd 0.5001 0.2608 0.0000
Sm 0.0000 0.0000 0.0000
Pd 0.4999 0.7392 0.0000
Au 0.3342 0.8342 0.6683

## Properties
* ΔE_f: -0.335 eV/atom
* crystal system: orthorhombic